1.
Below is a relaxed structure of Li3Sn2Pd5, with properties calculated at the PBE level.

abc: 10.0474 13.4290 5.2685
angles: 90.00 90.00 90.00
Space group Ibam (No. 72)
Symmetry-distinct sites (fractional):
Li1 0.0000 0.0000 0.2500 (multiplicity 4)
Li2 0.0861 0.3506 0.0000 (multiplicity 8)
Sn1 0.1218 0.1666 0.5000 (multiplicity 8)
Pd1 0.0000 0.5000 0.2500 (multiplicity 4)
Pd2 0.2094 0.1811 0.0000 (multiplicity 8)
Pd3 0.2383 0.0000 0.2500 (multiplicity 8)

Properties
Spin magnetization in μB/atom: 0.000
ΔH_f (0 K) in eV/atom: -0.291

***

2.
Below is a relaxed structure of Ag3TeS3, with properties calculated at the PBE level.

abc: 8.2014 4.9019 8.3434
angles: 90.00 98.54 90.00
Space group P2_1/m (No. 11)
Symmetry-distinct sites (fractional):
Ag1 0.0557 0.2500 0.1757 (multiplicity 2)
Ag2 0.1430 0.2500 0.5996 (multiplicity 2)
Ag3 0.3328 0.7500 0.8998 (multiplicity 2)
Te1 0.3900 0.7500 0.3733 (multiplicity 2)
S1 0.1258 0.7500 0.5924 (multiplicity 2)
S2 0.1598 0.7500 0.1373 (multiplicity 2)
S3 0.3978 0.2500 0.8122 (multiplicity 2)

Properties
Raw formation energy in eV/f.u.: 0.373
Spin magnetization in μB/atom: 0.000

***

3.
Below is a relaxed structure of BeAlH2, with properties calculated at the PBE level.

abc: 4.2720 4.2720 7.8245
angles: 90.00 90.00 90.00
Space group I-42d (No. 122)
Symmetry-distinct sites (fractional):
Be1 0.0000 0.0000 0.0000 (multiplicity 4)
Al1 0.0000 0.0000 0.5000 (multiplicity 4)
H1 0.0954 0.2500 0.1250 (multiplicity 8)

Properties
Spin magnetization in μB/atom: 0.000
E in eV per atom: -3.1489

***

4.
Below is a relaxed structure of AcY2Er4, with properties calculated at the PBE level.

abc: 6.7728 9.0228 9.0839
angles: 115.85 99.81 102.89
Space group P1 (No. 1)
Symmetry-distinct sites (fractional):
Ac1 0.0000 0.0000 0.0000 (multiplicity 1)
Ac2 0.3389 0.8338 0.4856 (multiplicity 1)
Y1 0.0393 0.0776 0.4162 (multiplicity 1)
Y2 0.0741 0.6328 0.0306 (multiplicity 1)
Y3 0.5923 0.4965 0.7018 (multiplicity 1)
Y4 0.7876 0.3682 0.1782 (multiplicity 1)
Er1 0.0628 0.4787 0.6073 (multiplicity 1)
Er2 0.3244 0.2479 0.8551 (multiplicity 1)
Er3 0.3377 0.4257 0.2917 (multiplicity 1)
Er4 0.4579 0.8832 0.8945 (multiplicity 1)
Er5 0.5361 0.1174 0.3323 (multiplicity 1)
Er6 0.6089 0.6956 0.1438 (multiplicity 1)
Er7 0.7957 0.1921 0.7438 (multiplicity 1)
Er8 0.8437 0.7608 0.5449 (multiplicity 1)

Properties
Spin magnetization in μB/atom: 0.000
ΔH_f (0 K) in eV/atom: 0.082

***

5.
Below is a relaxed structure of Re2SbMo, with properties calculated at the PBE level.

abc: 9.5056 3.0306 4.7471
angles: 90.00 100.93 90.00
Space group C2/m (No. 12)
Symmetry-distinct sites (fractional):
Re1 0.2360 0.0000 0.2183 (multiplicity 4)
Sb1 0.0000 0.0000 0.5000 (multiplicity 2)
Mo1 0.0000 0.5000 0.0000 (multiplicity 2)

Properties
Raw formation energy in eV/f.u.: 1.748
Spin magnetization in μB/atom: 0.000

***

6.
Below is a relaxed structure of CePmRh2, with properties calculated at the PBE level.

abc: 5.6598 5.6789 11.4375
angles: 90.00 105.06 90.00
Space group P2/c (No. 13)
Symmetry-distinct sites (fractional):
Ce1 0.1932 0.1275 0.1368 (multiplicity 4)
Pm1 0.3051 0.3725 0.8575 (multiplicity 4)
Rh1 0.1659 0.3585 0.5862 (multiplicity 4)
Rh2 0.3333 0.1256 0.4001 (multiplicity 4)

Properties
Spin magnetization in μB/atom: 0.046
ΔH_f (0 K) in eV/atom: -0.742

***

7.
Below is a relaxed structure of Ho2Tm2Bi3, with properties calculated at the PBE level.

abc: 4.3924 7.3874 7.4319
angles: 81.40 89.98 72.75
Space group P-1 (No. 2)
Symmetry-distinct sites (fractional):
Ho1 0.1170 0.2670 0.3926 (multiplicity 2)
Tm1 0.3783 0.7438 0.1444 (multiplicity 2)
Bi1 0.0000 0.5000 0.0000 (multiplicity 1)
Bi2 0.2597 0.9798 0.7534 (multiplicity 2)

Properties
Spin magnetization in μB/atom: 0.000
ΔH_f (0 K) in eV/atom: -0.524

***

8.
Below is a relaxed structure of Pr2HoCu, with properties calculated at the PBE level.

abc: 3.5460 3.5460 33.3658
angles: 90.00 90.00 120.00
Space group R-3m (No. 166, hexagonal axes)
Symmetry-distinct sites (fractional):
Pr1 0.0000 0.0000 0.1021 (multiplicity 6)
Ho1 0.0000 0.0000 0.0000 (multiplicity 3)
Cu1 0.0000 0.0000 0.5000 (multiplicity 3)

Properties
Spin magnetization in μB/atom: 0.001
ΔH_f (0 K) in eV/atom: 0.274

***

9.
Below is a relaxed structure of Pr12Cu6Ir, with properties calculated at the PBE level.

abc: 12.7470 12.7470 12.4912
angles: 90.00 90.00 120.00
Space group R-3 (No. 148, hexagonal axes)
Symmetry-distinct sites (fractional):
Pr1 0.0243 0.2002 0.3907 (multiplicity 18)
Pr2 0.0349 0.1986 0.8765 (multiplicity 18)
Cu1 0.0433 0.2705 0.6462 (multiplicity 18)
Ir1 0.0000 0.0000 0.0000 (multiplicity 3)

Properties
Spin magnetization in μB/atom: 0.000
ΔH_f (0 K) in eV/atom: -0.001

***

10.
Below is a relaxed structure of Be2VOsW, with properties calculated at the PBE level.

abc: 4.2139 4.2139 4.3475
angles: 90.00 90.00 90.00
Space group P4/mmm (No. 123)
Symmetry-distinct sites (fractional):
Be1 0.0000 0.5000 0.0000 (multiplicity 2)
V1 0.0000 0.0000 0.5000 (multiplicity 1)
Os1 0.5000 0.5000 0.5000 (multiplicity 1)
W1 0.0000 0.0000 0.0000 (multiplicity 1)

Properties
Spin magnetization in μB/atom: 0.000
ΔH_f (0 K) in eV/atom: 1.784

***

11.
Below is a relaxed structure of TlZn2HRh, with properties calculated at the PBE level.

abc: 3.9062 3.9062 4.6805
angles: 90.00 90.00 90.00
Space group P4/mmm (No. 123)
Symmetry-distinct sites (fractional):
Tl1 0.0000 0.0000 0.0000 (multiplicity 1)
Zn1 0.0000 0.5000 0.5000 (multiplicity 2)
H1 0.0000 0.0000 0.5000 (multiplicity 1)
Rh1 0.5000 0.5000 0.0000 (multiplicity 1)

Properties
Spin magnetization in μB/atom: 0.000
E in eV per atom: -2.8959

***

12.
Below is a relaxed structure of LiPa2Tc, with properties calculated at the PBE level.

abc: 4.7040 4.7040 3.6604
angles: 90.00 90.00 90.00
Space group P4/mmm (No. 123)
Symmetry-distinct sites (fractional):
Li1 0.0000 0.0000 0.0000 (multiplicity 1)
Pa1 0.0000 0.5000 0.5000 (multiplicity 2)
Tc1 0.5000 0.5000 0.0000 (multiplicity 1)

Properties
Spin magnetization in μB/atom: 0.000
ΔH_f (0 K) in eV/atom: 0.142